No. 1
Ti3Cr5H12 after structural relaxation, computed with PBE.

Results
The calculation puts the raw total energy at -459.06 eV per cell.

Cell lengths 9.020, 9.020, 9.020 Å; angles 109.47, 109.47, 109.47 degrees
Fractional coordinates of all 80 atoms:
Ti 0.125 0.250 0.375
Ti 0.125 0.375 0.750
Ti 0.250 0.375 0.125
Ti 0.250 0.875 0.625
Ti 0.375 0.125 0.250
Ti 0.375 0.750 0.125
Ti 0.625 0.250 0.875
Ti 0.625 0.875 0.750
Ti 0.750 0.125 0.375
Ti 0.750 0.625 0.875
Ti 0.875 0.625 0.250
Ti 0.875 0.750 0.625
Cr 0.000 0.000 0.000
Cr 0.000 0.000 0.500
Cr 0.000 0.500 0.000
Cr 0.000 0.500 0.500
Cr 0.125 0.750 0.875
Cr 0.125 0.875 0.250
Cr 0.250 0.125 0.875
Cr 0.250 0.625 0.375
Cr 0.375 0.250 0.625
Cr 0.375 0.625 0.750
Cr 0.500 0.000 0.000
Cr 0.500 0.000 0.500
Cr 0.500 0.500 0.000
Cr 0.500 0.500 0.500
Cr 0.625 0.375 0.250
Cr 0.625 0.750 0.375
Cr 0.750 0.375 0.625
Cr 0.750 0.875 0.125
Cr 0.875 0.125 0.750
Cr 0.875 0.250 0.125
H 0.052 0.217 0.133
H 0.052 0.336 0.919
H 0.081 0.633 0.417
H 0.081 0.948 0.664
H 0.083 0.717 0.664
H 0.083 0.867 0.419
H 0.133 0.052 0.217
H 0.133 0.581 0.917
H 0.164 0.217 0.583
H 0.164 0.448 0.581
H 0.217 0.133 0.052
H 0.217 0.583 0.164
H 0.283 0.336 0.917
H 0.283 0.448 0.367
H 0.336 0.917 0.283
H 0.336 0.919 0.052
H 0.367 0.283 0.448
H 0.367 0.583 0.919
H 0.417 0.081 0.633
H 0.417 0.836 0.783
H 0.419 0.083 0.867
H 0.419 0.836 0.552
H 0.448 0.367 0.283
H 0.448 0.581 0.164
H 0.552 0.419 0.836
H 0.552 0.633 0.717
H 0.581 0.164 0.448
H 0.581 0.917 0.133
H 0.583 0.164 0.217
H 0.583 0.919 0.367
H 0.633 0.417 0.081
H 0.633 0.717 0.552
H 0.664 0.081 0.948
H 0.664 0.083 0.717
H 0.717 0.552 0.633
H 0.717 0.664 0.083
H 0.783 0.417 0.836
H 0.783 0.867 0.948
H 0.836 0.552 0.419
H 0.836 0.783 0.417
H 0.867 0.419 0.083
H 0.867 0.948 0.783
H 0.917 0.133 0.581
H 0.917 0.283 0.336
H 0.919 0.052 0.336
H 0.919 0.367 0.583
H 0.948 0.664 0.081
H 0.948 0.783 0.867

=====

No. 2
K2PaSe5 after structural relaxation, computed with PBE.

Results
The raw formation energy comes out at -0.93 eV per atom.

Cell lengths 6.795, 6.795, 5.588 Å; angles 90.00, 90.00, 90.00 degrees
Fractional coordinates of all 8 atoms:
K 0.000 0.500 0.000
K 0.500 0.000 0.000
Pa 0.000 0.000 0.500
Se 0.000 0.000 0.000
Se 0.284 0.284 0.500
Se 0.284 0.716 0.500
Se 0.716 0.284 0.500
Se 0.716 0.716 0.500

=====

No. 3
ErFeCo3 after structural relaxation, computed with PBE.

Results
The calculation puts the raw total energy at -65.59 eV per cell.

Cell lengths 8.192, 8.192, 4.452 Å; angles 90.00, 90.00, 146.59 degrees
Fractional coordinates of all 10 atoms:
Er 0.091 0.909 0.750
Er 0.909 0.091 0.250
Fe 0.365 0.635 0.750
Fe 0.635 0.365 0.250
Co 0.024 0.515 0.250
Co 0.485 0.976 0.250
Co 0.500 0.500 0.000
Co 0.500 0.500 0.500
Co 0.515 0.024 0.750
Co 0.976 0.485 0.750